Compound: Pm4Pb2Au
Source: the Alexandria database
Functional: GGA-PBE
Structure: optimized geometry

- E (eV per cell) = -31.583
- ΔE_f (eV per atom) = -0.269
- E above lowest polymorph (meV/atom) = 256

Lattice parameters (Å, degrees): 9.3097 9.3097 9.3097 146.23 146.23 48.51
With the nearest neighbours (Å) after each atom.
Fractional coordinates of all 7 atoms:
Pm 0.0000 0.5000 0.5000  2 Au 2.70
Pm 0.1811 0.1811 0.0000  1 Au 3.07, 1 Pb 3.17
Pm 0.5000 0.0000 0.5000  2 Au 2.70
Pm 0.8189 0.8189 0.0000  1 Au 3.07, 1 Pb 3.17
Pb 0.3676 0.3676 0.0000  5 Pm 3.17-3.52
Pb 0.6324 0.6324 0.0000  5 Pm 3.17-3.52
Au 0.0000 0.0000 0.0000  4 Pm 2.70